Entry 1:
## Pm3Y3Sc (PBE)

Data for an optimized crystal structure of Pm3Y3Sc.

Cell: 6.2282 6.2282 41.7655 Å, 90.00 90.00 120.00°
Space group R-3 (No. 148, hexagonal axes)
One atom of each set of equivalent atoms:
Pm 0.9999 0.3334 0.1041 (multiplicity 18)
Y 0.9999 0.3324 0.6322 (multiplicity 18)
Sc 0.0000 0.0000 0.1667 (multiplicity 6)

Summary:
E_tot (eV/atom): -5.56
Total magnetization (μB per atom): 0.000
DOS(E_F) (states/eV/atom): 1.4541

---

Entry 2:
## Pm8Y3Sc (PBE)

Data for an optimized crystal structure of Pm8Y3Sc.

Cell: 8.706 8.706 11.583 Å, 90.00 90.00 90.00°
Space group I-42m (No. 121)
One atom of each set of equivalent atoms:
Pm 0.127 0.127 0.260 (multiplicity 8)
Pm 0.237 0.237 0.524 (multiplicity 8)
Y 0.000 0.000 0.000 (multiplicity 2)
Y 0.000 0.500 0.250 (multiplicity 4)
Sc 0.000 0.000 0.500 (multiplicity 2)

Summary:
E_tot (eV/atom): -4.74
Total magnetization (μB per atom): 0.000
DOS(E_F) (states/eV/atom): 1.6985

---

Entry 3:
## PmY2Sc (PBE)

Data for an optimized crystal structure of PmY2Sc.

Cell: 3.525 3.525 9.907 Å, 90.00 90.00 90.00°
Space group P4/mmm (No. 123)
One atom of each set of equivalent atoms:
Pm 0.000 0.000 0.000 (multiplicity 1)
Y 0.500 0.500 0.264 (multiplicity 2)
Sc 0.000 0.000 0.500 (multiplicity 1)

Summary:
E_tot (eV/atom): -5.95
Total magnetization (μB per atom): 0.000
DOS(E_F) (states/eV/atom): 1.6488

---

Entry 4:
## Pm12YSc7 (PBE)

Data for an optimized crystal structure of Pm12YSc7.

Cell: 14.8494 14.8494 9.7276 Å, 90.00 90.00 120.00°
Space group R-3 (No. 148, hexagonal axes)
One atom of each set of equivalent atoms:
Pm 0.0406 0.8462 0.2555 (multiplicity 18)
Pm 0.0434 0.7870 0.5818 (multiplicity 18)
Y 0.0000 0.0000 0.0000 (multiplicity 3)
Sc 0.0000 0.0000 0.5000 (multiplicity 3)
Sc 0.0708 0.8264 0.9288 (multiplicity 18)

Summary:
E_tot (eV/atom): -5.23
Total magnetization (μB per atom): 0.000
DOS(E_F) (states/eV/atom): 1.9100

---

Entry 5:
## PmY8Sc2 (PBE)

Data for an optimized crystal structure of PmY8Sc2.

Cell: 8.879 15.793 5.774 Å, 90.00 120.96 90.00°
Space group C2/m (No. 12)
One atom of each set of equivalent atoms:
Pm 0.000 0.000 0.000 (multiplicity 2)
Y 0.000 0.210 0.000 (multiplicity 4)
Y 0.079 0.500 0.792 (multiplicity 4)
Y 0.216 0.119 0.663 (multiplicity 8)
Sc 0.000 0.307 0.500 (multiplicity 4)

Summary:
E_tot (eV/atom): -6.11
Total magnetization (μB per atom): 0.000
DOS(E_F) (states/eV/atom): 1.6664

---

Entry 6:
## Pm5Y5Sc (PBE)

Data for an optimized crystal structure of Pm5Y5Sc.

Cell: 18.874 5.994 6.948 Å, 90.00 110.86 90.00°
Space group C2/m (No. 12)
One atom of each set of equivalent atoms:
Pm 0.000 0.000 0.000 (multiplicity 2)
Pm 0.126 0.500 0.130 (multiplicity 4)
Pm 0.173 0.500 0.677 (multiplicity 4)
Y 0.000 0.500 0.500 (multiplicity 2)
Y 0.174 0.000 0.428 (multiplicity 4)
Y 0.175 0.000 0.917 (multiplicity 4)
Sc 0.000 0.000 0.500 (multiplicity 2)

Summary:
E_tot (eV/atom): -5.41
Total magnetization (μB per atom): 0.126
DOS(E_F) (states/eV/atom): 1.7230

---

Entry 7:
## Pm4YSc3 (PBE)

Data for an optimized crystal structure of Pm4YSc3.

Cell: 11.312 6.067 7.029 Å, 90.00 90.00 90.00°
Space group Pmn2_1 (No. 31)
One atom of each set of equivalent atoms:
Pm 0.000 0.161 0.000 (multiplicity 2)
Pm 0.000 0.675 0.251 (multiplicity 2)
Pm 0.249 0.501 0.500 (multiplicity 4)
Y 0.000 0.164 0.505 (multiplicity 2)
Sc 0.000 0.667 0.750 (multiplicity 2)
Sc 0.247 0.996 0.751 (multiplicity 4)

Summary:
E_tot (eV/atom): -5.51
Total magnetization (μB per atom): 0.000
DOS(E_F) (states/eV/atom): 1.3505

---

Entry 8:
## Pm3YSc3 (PBE)

Data for an optimized crystal structure of Pm3YSc3.

Cell: 8.3934 8.3934 21.2500 Å, 90.00 90.00 120.00°
Space group R-3 (No. 148, hexagonal axes)
One atom of each set of equivalent atoms:
Pm 0.0462 0.5978 0.3819 (multiplicity 18)
Y 0.0000 0.0000 0.1552 (multiplicity 6)
Sc 0.0047 0.7798 0.5561 (multiplicity 18)

Summary:
E_tot (eV/atom): -5.49
Total magnetization (μB per atom): 0.000
DOS(E_F) (states/eV/atom): 1.6032

---

Entry 9:
## PmY14Sc (PBE)

Data for an optimized crystal structure of PmY14Sc.

Cell: 7.121 7.121 10.031 Å, 90.00 90.00 90.00°
Space group P4/mmm (No. 123)
One atom of each set of equivalent atoms:
Pm 0.000 0.000 0.000 (multiplicity 1)
Y 0.000 0.000 0.500 (multiplicity 1)
Y 0.000 0.500 0.000 (multiplicity 2)
Y 0.000 0.500 0.500 (multiplicity 2)
Y 0.252 0.252 0.248 (multiplicity 8)
Y 0.500 0.500 0.500 (multiplicity 1)
Sc 0.500 0.500 0.000 (multiplicity 1)

Summary:
E_tot (eV/atom): -6.32
Total magnetization (μB per atom): 0.000
DOS(E_F) (states/eV/atom): 1.3847

---

Entry 10:
## PmY2Sc (PBE)

Data for an optimized crystal structure of PmY2Sc.

Cell: 3.5505 3.5505 33.9065 Å, 90.00 90.00 120.00°
Space group R3m (No. 160, hexagonal axes)
One atom of each set of equivalent atoms:
Pm 0.0000 0.0000 0.0000 (multiplicity 3)
Y 0.0000 0.0000 0.2466 (multiplicity 3)
Y 0.0000 0.0000 0.4211 (multiplicity 3)
Sc 0.0000 0.0000 0.8343 (multiplicity 3)

Summary:
E_tot (eV/atom): -5.96
Total magnetization (μB per atom): 0.000
DOS(E_F) (states/eV/atom): 1.4947

---

Entry 11:
## Pm3YSc2 (PBE)

Data for an optimized crystal structure of Pm3YSc2.

Cell: 23.026 3.396 10.042 Å, 90.00 107.42 90.00°
Space group C2/m (No. 12)
One atom of each set of equivalent atoms:
Pm 0.059 0.000 0.425 (multiplicity 4)
Pm 0.069 0.500 0.784 (multiplicity 4)
Pm 0.196 0.000 0.706 (multiplicity 4)
Y 0.186 0.000 0.047 (multiplicity 4)
Sc 0.074 0.500 0.140 (multiplicity 4)
Sc 0.192 0.000 0.372 (multiplicity 4)

Summary:
E_tot (eV/atom): -5.40
Total magnetization (μB per atom): 0.000
DOS(E_F) (states/eV/atom): 1.7409

---

Entry 12:
## Pm4Y3Sc2 (PBE)

Data for an optimized crystal structure of Pm4Y3Sc2.

Cell: 16.551 11.620 5.937 Å, 90.00 97.95 90.00°
Space group C2/c (No. 15)
One atom of each set of equivalent atoms:
Pm 0.062 0.118 0.032 (multiplicity 8)
Pm 0.215 0.393 0.882 (multiplicity 8)
Y 0.000 0.385 0.750 (multiplicity 4)
Y 0.174 0.144 0.578 (multiplicity 8)
Sc 0.103 0.371 0.306 (multiplicity 8)

Summary:
E_tot (eV/atom): -5.57
Total magnetization (μB per atom): 0.000
DOS(E_F) (states/eV/atom): 1.5057